Material: CsRe2NiO
Method: DFT, PBE with a Hubbard U
State: optimized geometry

```
data_CsRe2NiO
_chemical_formula_sum 'Cs1 Re2 Ni1 O1'
_symmetry_space_group_name_H-M 'P 4/m m m'
_symmetry_Int_Tables_number 123
_symmetry_space_group_name_Hall '-P 4 2'
_cell_length_a 4.455
_cell_length_b 4.455
_cell_length_c 7.270
_cell_angle_alpha 90.00
_cell_angle_beta 90.00
_cell_angle_gamma 90.00
loop_
_atom_site_label
_atom_site_type_symbol
_atom_site_fract_x
_atom_site_fract_y
_atom_site_fract_z
Cs1 Cs 0.000 0.000 0.000
Re1 Re 0.000 0.500 0.500
Ni1 Ni 0.000 0.000 0.500
O1 O 0.500 0.500 0.000
```

Output
For the raw total energy, the calculation gives -4.37 eV per atom. As for the density of states at the Fermi level: 8.9 states/eV/cell.